<a>
## Pr2Sm7Dy2 (PBE-GGA)

Data for a geometry-optimized Pr2Sm7Dy2 structure.

abc: 8.6435 8.6435 15.8126
angles: 110.18 110.18 43.21
Positions (direct):
Pr (0.0297, 0.6975, 0.5229)
Pr (0.3025, 0.9703, 0.9771)
Pr (0.6975, 0.0297, 0.0229)
Pr (0.9703, 0.3025, 0.4771)
Sm (0.1203, 0.7860, 0.3400)
Sm (0.1519, 0.4842, 0.1150)
Sm (0.2140, 0.8797, 0.1600)
Sm (0.2418, 0.5734, 0.9303)
Sm (0.3332, 0.6668, 0.7500)
Sm (0.4266, 0.7582, 0.5697)
Sm (0.4842, 0.1519, 0.6150)
Sm (0.5158, 0.8482, 0.3850)
Sm (0.5734, 0.2418, 0.4303)
Sm (0.6668, 0.3332, 0.2500)
Sm (0.7582, 0.4266, 0.0697)
Sm (0.7860, 0.1203, 0.8400)
Sm (0.8482, 0.5158, 0.8850)
Sm (0.8797, 0.2140, 0.6600)
Dy (0.0618, 0.3927, 0.2943)
Dy (0.3927, 0.0618, 0.7943)
Dy (0.6073, 0.9382, 0.2057)
Dy (0.9382, 0.6073, 0.7057)

***

<b>
## Pr2Sm7Dy2 (PBE-GGA)

Data for a geometry-optimized Pr2Sm7Dy2 structure.

abc: 6.3731 6.3731 10.0785
angles: 91.72 91.72 113.16
Positions (direct):
Pr (0.2059, 0.2059, 0.2874)
Pr (0.7941, 0.7941, 0.7126)
Sm (0.0792, 0.6706, 0.1471)
Sm (0.3146, 0.3146, 0.6362)
Sm (0.3294, 0.9208, 0.8529)
Sm (0.5000, 0.5000, 0.0000)
Sm (0.6706, 0.0792, 0.1471)
Sm (0.6854, 0.6854, 0.3638)
Sm (0.9208, 0.3294, 0.8529)
Dy (0.2285, 0.7715, 0.5000)
Dy (0.7715, 0.2285, 0.5000)

***

Stability, highest: <a>

***

<a>
## Pr3Sm2Dy3 (PBE-GGA)

Data for a geometry-optimized Pr3Sm2Dy3 structure.

abc: 8.7008 8.7008 6.0927
angles: 109.70 109.70 39.28
Positions (direct):
Pr (0.0000, 0.0000, 0.0000)
Pr (0.1347, 0.1347, 0.6936)
Pr (0.8653, 0.8653, 0.3064)
Sm (0.2502, 0.2502, 0.3172)
Sm (0.7498, 0.7498, 0.6828)
Dy (0.3698, 0.3698, 0.9190)
Dy (0.5000, 0.5000, 0.5000)
Dy (0.6302, 0.6302, 0.0810)

***

<b>
## Pr3Sm2Dy3 (PBE-GGA)

Data for a geometry-optimized Pr3Sm2Dy3 structure.

abc: 10.8935 10.8935 10.8935
angles: 152.84 152.73 38.87
Positions (direct):
Pr (0.0000, 0.0000, 0.0000)
Pr (0.3757, 0.8757, 0.5000)
Pr (0.6243, 0.1243, 0.5000)
Sm (0.2494, 0.2494, 0.0000)
Sm (0.7506, 0.7506, 0.0000)
Dy (0.1256, 0.6256, 0.5000)
Dy (0.5000, 0.5000, 0.0000)
Dy (0.8744, 0.3744, 0.5000)

***

Stability, highest: <b>

***

<a>
## Pr7Sm3Dy2 (PBE-GGA)

Data for a geometry-optimized Pr7Sm3Dy2 structure.

abc: 6.5600 3.6020 17.8718
angles: 90.00 95.91 90.00
Positions (direct):
Pr (0.0000, 0.0000, 0.0000)
Pr (0.2231, 0.5000, 0.1711)
Pr (0.2564, 0.5000, 0.4939)
Pr (0.2747, 0.0000, 0.8314)
Pr (0.7253, 0.0000, 0.1686)
Pr (0.7436, 0.5000, 0.5061)
Pr (0.7769, 0.5000, 0.8289)
Sm (0.4549, 0.0000, 0.3391)
Sm (0.5000, 0.5000, 0.0000)
Sm (0.5451, 0.0000, 0.6609)
Dy (0.0583, 0.5000, 0.6696)
Dy (0.9417, 0.5000, 0.3304)

***

<b>
## Pr7Sm3Dy2 (PBE-GGA)

Data for a geometry-optimized Pr7Sm3Dy2 structure.

abc: 5.9891 3.6445 19.3583
angles: 90.00 93.44 90.00
Positions (direct):
Pr (0.0000, 0.0000, 0.0000)
Pr (0.1800, 0.5000, 0.1836)
Pr (0.2573, 0.5000, 0.5351)
Pr (0.3228, 0.0000, 0.8542)
Pr (0.6772, 0.0000, 0.1458)
Pr (0.7427, 0.5000, 0.4649)
Pr (0.8200, 0.5000, 0.8164)
Sm (0.2165, 0.0000, 0.3665)
Sm (0.5000, 0.5000, 0.0000)
Sm (0.7835, 0.0000, 0.6335)
Dy (0.2933, 0.5000, 0.7030)
Dy (0.7067, 0.5000, 0.2970)

***

Stability, highest: <a>

***

<a>
## Pr2Sm3Dy3 (PBE-GGA)

Data for a geometry-optimized Pr2Sm3Dy3 structure.

abc: 10.8273 10.8273 10.8273
angles: 152.65 152.64 39.07
Positions (direct):
Pr (0.2500, 0.2500, 0.0000)
Pr (0.7500, 0.7500, 0.0000)
Sm (0.0000, 0.0000, 0.0000)
Sm (0.1227, 0.6227, 0.5000)
Sm (0.8773, 0.3773, 0.5000)
Dy (0.3768, 0.8768, 0.5000)
Dy (0.5000, 0.5000, 0.0000)
Dy (0.6232, 0.1232, 0.5000)

***

<b>
## Pr2Sm3Dy3 (PBE-GGA)

Data for a geometry-optimized Pr2Sm3Dy3 structure.

abc: 6.6268 6.6268 16.1420
angles: 90.00 90.00 129.63
Positions (direct):
Pr (0.2199, 0.7801, 0.6277)
Pr (0.2199, 0.7801, 0.8723)
Pr (0.7801, 0.2199, 0.1277)
Pr (0.7801, 0.2199, 0.3723)
Sm (0.0774, 0.9226, 0.0929)
Sm (0.0774, 0.9226, 0.4071)
Sm (0.2641, 0.7359, 0.2500)
Sm (0.7359, 0.2641, 0.7500)
Sm (0.9226, 0.0774, 0.5929)
Sm (0.9226, 0.0774, 0.9071)
Dy (0.3821, 0.6179, 0.0505)
Dy (0.3821, 0.6179, 0.4495)
Dy (0.4596, 0.5404, 0.7500)
Dy (0.5404, 0.4596, 0.2500)
Dy (0.6179, 0.3821, 0.5505)
Dy (0.6179, 0.3821, 0.9495)

***

Stability, highest: <a>

***

<a>
## Pr3Sm2Dy6 (PBE-GGA)

Data for a geometry-optimized Pr3Sm2Dy6 structure.

abc: 6.2238 6.2238 11.6992
angles: 95.15 95.15 120.14
Positions (direct):
Pr (0.0000, 0.0000, 0.0000)
Pr (0.3358, 0.6642, 0.0000)
Pr (0.6642, 0.3358, 0.0000)
Sm (0.1662, 0.8338, 0.5000)
Sm (0.8338, 0.1662, 0.5000)
Dy (0.0848, 0.4177, 0.2530)
Dy (0.2495, 0.2495, 0.7475)
Dy (0.4177, 0.0848, 0.2530)
Dy (0.5823, 0.9152, 0.7470)
Dy (0.7505, 0.7505, 0.2525)
Dy (0.9152, 0.5823, 0.7470)

***

<b>
## Pr3Sm2Dy6 (PBE-GGA)

Data for a geometry-optimized Pr3Sm2Dy6 structure.

abc: 16.9863 16.9863 16.9863
angles: 163.76 163.76 23.04
Positions (direct):
Pr (0.0000, 0.0000, 0.0000)
Pr (0.2042, 0.2042, 0.0000)
Pr (0.7958, 0.7958, 0.0000)
Sm (0.4539, 0.4539, 0.0000)
Sm (0.5461, 0.5461, 0.0000)
Dy (0.1200, 0.6200, 0.5000)
Dy (0.3081, 0.3081, 0.0000)
Dy (0.3800, 0.8800, 0.5000)
Dy (0.6200, 0.1200, 0.5000)
Dy (0.6919, 0.6919, 0.0000)
Dy (0.8800, 0.3800, 0.5000)

***

Stability, highest: <a>

***

<a>
## Pr4Sm6Dy (PBE-GGA)

Data for a geometry-optimized Pr4Sm6Dy structure.

abc: 9.7772 9.7772 9.7772
angles: 139.38 139.38 58.79
Positions (direct):
Pr (0.1330, 0.1330, 0.6198)
Pr (0.4869, 0.8670, 0.0000)
Pr (0.5131, 0.5131, 0.3802)
Pr (0.8670, 0.4869, 0.0000)
Sm (0.0000, 0.5000, 0.5000)
Sm (0.0537, 0.7036, 0.0000)
Sm (0.2964, 0.2964, 0.3501)
Sm (0.5000, 0.0000, 0.5000)
Sm (0.7036, 0.0537, 0.0000)
Sm (0.9463, 0.9463, 0.6499)
Dy (0.5000, 0.5000, 0.0000)

***

<b>
## Pr4Sm6Dy (PBE-GGA)

Data for a geometry-optimized Pr4Sm6Dy structure.

abc: 8.7016 8.7016 8.7016
angles: 127.64 127.64 77.21
Positions (direct):
Pr (0.2454, 0.2454, 0.6502)
Pr (0.4047, 0.7546, 0.0000)
Pr (0.5953, 0.5953, 0.3498)
Pr (0.7546, 0.4047, 0.0000)
Sm (0.0000, 0.5000, 0.5000)
Sm (0.0411, 0.5869, 0.0000)
Sm (0.4131, 0.4131, 0.4542)
Sm (0.5000, 0.0000, 0.5000)
Sm (0.5869, 0.0411, 0.0000)
Sm (0.9589, 0.9589, 0.5458)
Dy (0.0000, 0.0000, 0.0000)

***

Stability, highest: <a>